Entry from the Alexandria database: UTc2Ir after structural relaxation (PBE-GGA).

Lattice parameters (Å, degrees): 4.043 4.043 4.023 90.00 90.00 90.00
Space group P4/mmm (No. 123)
Asymmetric unit:
1 U 0.000 0.000 0.000 (multiplicity 1)
2 Tc 0.000 0.500 0.500 (multiplicity 2)
3 Ir 0.500 0.500 0.000 (multiplicity 1)

- Size of the total moment: 0.000 μB per formula unit
- E_tot: -10.51 eV per atom
- Calculated formation energy: -0.290 eV per atom
- Density of states at the Fermi level: 4.73 states/eV/f.u.

=====

Entry from the Alexandria database: U2TcIr after structural relaxation (PBE-GGA).

Lattice parameters (Å, degrees): 3.348 3.348 6.976 90.00 90.00 90.00
Space group P4/mmm (No. 123)
Asymmetric unit:
1 U 0.000 0.000 0.250 (multiplicity 2)
2 Tc 0.500 0.500 0.000 (multiplicity 1)
3 Ir 0.500 0.500 0.500 (multiplicity 1)

- Size of the total moment: 3.630 μB per formula unit
- E_tot: -10.61 eV per atom
- Calculated formation energy: -0.160 eV per atom
- Density of states at the Fermi level: 6.11 states/eV/f.u.

=====

Entry from the Alexandria database: VTc2Ir after structural relaxation (PBE-GGA).

Lattice parameters (Å, degrees): 6.142 6.142 6.142 90.00 90.00 90.00
Space group Fm-3m (No. 225)
Asymmetric unit:
1 V 0.000 0.000 0.000 (multiplicity 4)
2 Tc 0.250 0.250 0.250 (multiplicity 8)
3 Ir 0.000 0.000 0.500 (multiplicity 4)

- Size of the total moment: 0.957 μB per formula unit
- E_tot: -9.59 eV per atom
- Calculated formation energy: 0.091 eV per atom
- Density of states at the Fermi level: 7.47 states/eV/f.u.
- Energy relative to the lowest polymorph listed for this composition: 0.288 eV/atom

=====

Entry from the Alexandria database: V6Tc5Ir after structural relaxation (PBE-GGA).

Lattice parameters (Å, degrees): 4.281 6.056 12.829 90.00 90.00 90.00
Space group Immm (No. 71)
Asymmetric unit:
1 V 0.000 0.242 0.000 (multiplicity 4)
2 V 0.000 0.253 0.331 (multiplicity 8)
3 Tc 0.000 0.000 0.168 (multiplicity 4)
4 Tc 0.000 0.500 0.164 (multiplicity 4)
5 Tc 0.000 0.500 0.500 (multiplicity 2)
6 Ir 0.000 0.000 0.500 (multiplicity 2)

- Size of the total moment: 0.000 μB per formula unit
- E_tot: -10.00 eV per atom
- Calculated formation energy: -0.379 eV per atom
- Density of states at the Fermi level: 9.44 states/eV/f.u.

=====

Entry from the Alexandria database: V2Tc2Ir after structural relaxation (PBE-GGA).

Lattice parameters (Å, degrees): 7.002 7.002 2.929 90.00 90.00 90.00
Space group P4/mbm (No. 127)
Asymmetric unit:
1 V 0.144 0.356 0.000 (multiplicity 4)
2 Tc 0.161 0.661 0.500 (multiplicity 4)
3 Ir 0.000 0.000 0.000 (multiplicity 2)

- Size of the total moment: 0.000 μB per formula unit
- E_tot: -9.52 eV per atom
- Calculated formation energy: 0.042 eV per atom
- Density of states at the Fermi level: 4.06 states/eV/f.u.
- Energy relative to the lowest polymorph listed for this composition: 0.000 eV/atom

=====

Entry from the Alexandria database: V2TcIr2 after structural relaxation (PBE-GGA).

Lattice parameters (Å, degrees): 7.276 7.276 2.761 90.00 90.00 90.00
Space group P4/mbm (No. 127)
Asymmetric unit:
1 V 0.166 0.334 0.000 (multiplicity 4)
2 Tc 0.000 0.000 0.500 (multiplicity 2)
3 Ir 0.132 0.632 0.500 (multiplicity 4)

- Size of the total moment: 0.000 μB per formula unit
- E_tot: -9.47 eV per atom
- Calculated formation energy: -0.209 eV per atom
- Density of states at the Fermi level: 5.07 states/eV/f.u.
- Energy relative to the lowest polymorph listed for this composition: 0.000 eV/atom

=====

Entry from the Alexandria database: V2Tc2Ir after structural relaxation (PBE-GGA).

Lattice parameters (Å, degrees): 3.912 3.912 10.114 90.00 90.00 90.00
Space group I4/mmm (No. 139)
Asymmetric unit:
1 V 0.000 0.000 0.112 (multiplicity 4)
2 Tc 0.000 0.500 0.250 (multiplicity 4)
3 Ir 0.000 0.000 0.500 (multiplicity 2)

- Size of the total moment: 0.242 μB per formula unit
- E_tot: -8.98 eV per atom
- Calculated formation energy: 0.589 eV per atom
- Density of states at the Fermi level: 6.48 states/eV/f.u.
- Energy relative to the lowest polymorph listed for this composition: 0.548 eV/atom

=====

Entry from the Alexandria database: VTcIr3 after structural relaxation (PBE-GGA).

Lattice parameters (Å, degrees): 4.504 4.504 4.504 90.00 90.00 90.00
Space group Pm-3m (No. 221)
Asymmetric unit:
1 V 0.000 0.000 0.000 (multiplicity 1)
2 Tc 0.500 0.500 0.500 (multiplicity 1)
3 Ir 0.000 0.000 0.500 (multiplicity 3)

- Size of the total moment: 4.172 μB per formula unit
- E_tot: -7.82 eV per atom
- Calculated formation energy: 1.399 eV per atom
- Density of states at the Fermi level: 5.08 states/eV/f.u.
- Energy relative to the lowest polymorph listed for this composition: 1.656 eV/atom

=====

> Among the records above, which one has the lowest E_tot?

U2TcIr

=====

What did the fourth record say?
Entry from the Alexandria database: V6Tc5Ir after structural relaxation (PBE-GGA).

Lattice parameters (Å, degrees): 4.281 6.056 12.829 90.00 90.00 90.00
Space group Immm (No. 71)
Asymmetric unit:
1 V 0.000 0.242 0.000 (multiplicity 4)
2 V 0.000 0.253 0.331 (multiplicity 8)
3 Tc 0.000 0.000 0.168 (multiplicity 4)
4 Tc 0.000 0.500 0.164 (multiplicity 4)
5 Tc 0.000 0.500 0.500 (multiplicity 2)
6 Ir 0.000 0.000 0.500 (multiplicity 2)

- Size of the total moment: 0.000 μB per formula unit
- E_tot: -10.00 eV per atom
- Calculated formation energy: -0.379 eV per atom
- Density of states at the Fermi level: 9.44 states/eV/f.u.